No. 1
Computed, not measured: a geometry-optimized Ba2MgIn3Ge4 structure at the PBE-GGA level of DFT.

Summary:
Formation enthalpy at 0 K = -335 meV/atom
Calculated total energy = -3.55 eV/atom
Volume = 272.9 Å³/cell
Calculated density = 5.68 g/cm³

Geometry as CIF:
```
data_Ba2MgIn3Ge4
_chemical_formula_sum 'Ba2 Mg1 In3 Ge4'
_space_group_name_H-M_alt 'P -4 m 2'
_space_group_IT_number 115
_cell_length_a 5.015
_cell_length_b 5.015
_cell_length_c 10.853
_cell_angle_alpha 90.00
_cell_angle_beta 90.00
_cell_angle_gamma 90.00
loop_
_space_group_symop_operation_xyz
'x,y,z'
'y,-x,-z'
'-x,-y,z'
'-y,x,-z'
'-x,y,z'
'-y,-x,-z'
'x,-y,z'
'y,x,-z'
loop_
_atom_site_label
_atom_site_fract_x
_atom_site_fract_y
_atom_site_fract_z
_atom_site_occupancy
Ba1 0.000 0.500 0.237 1
Mg1 0.000 0.000 0.500 1
In1 0.000 0.500 0.879 1
In2 0.500 0.500 0.500 1
Ge1 0.000 0.000 0.000 1
Ge2 0.000 0.500 0.626 1
Ge3 0.500 0.500 0.000 1
```

=====

No. 2
Computed, not measured: a geometry-optimized Ba2MgIn4Ge3 structure at the PBE-GGA level of DFT.

Summary:
Formation enthalpy at 0 K = -287 meV/atom
Calculated total energy = -3.31 eV/atom
Volume = 284.5 Å³/cell
Calculated density = 5.70 g/cm³

Geometry as CIF:
```
data_Ba2MgIn4Ge3
_chemical_formula_sum 'Ba2 Mg1 In4 Ge3'
_space_group_name_H-M_alt 'P -4 m 2'
_space_group_IT_number 115
_cell_length_a 4.737
_cell_length_b 4.737
_cell_length_c 12.680
_cell_angle_alpha 90.00
_cell_angle_beta 90.00
_cell_angle_gamma 90.00
loop_
_space_group_symop_operation_xyz
'x,y,z'
'y,-x,-z'
'-x,-y,z'
'-y,x,-z'
'-x,y,z'
'-y,-x,-z'
'x,-y,z'
'y,x,-z'
loop_
_atom_site_label
_atom_site_fract_x
_atom_site_fract_y
_atom_site_fract_z
_atom_site_occupancy
Ba1 0.000 0.500 0.245 1
Mg1 0.000 0.000 0.500 1
In1 0.000 0.000 0.000 1
In2 0.000 0.500 0.634 1
In3 0.500 0.500 0.000 1
Ge1 0.000 0.500 0.864 1
Ge2 0.500 0.500 0.500 1
```

=====

No. 3
Computed, not measured: a geometry-optimized Ba2Mg3InGe4 structure at the PBE-GGA level of DFT.

Summary:
Formation enthalpy at 0 K = -418 meV/atom
Calculated total energy = -3.40 eV/atom
Volume = 257.3 Å³/cell
Calculated density = 4.86 g/cm³

Geometry as CIF:
```
data_Ba2Mg3InGe4
_chemical_formula_sum 'Ba2 Mg3 In1 Ge4'
_space_group_name_H-M_alt 'P -4 m 2'
_space_group_IT_number 115
_cell_length_a 4.768
_cell_length_b 4.768
_cell_length_c 11.317
_cell_angle_alpha 90.00
_cell_angle_beta 90.00
_cell_angle_gamma 90.00
loop_
_space_group_symop_operation_xyz
'x,y,z'
'y,-x,-z'
'-x,-y,z'
'-y,x,-z'
'-x,y,z'
'-y,-x,-z'
'x,-y,z'
'y,x,-z'
loop_
_atom_site_label
_atom_site_fract_x
_atom_site_fract_y
_atom_site_fract_z
_atom_site_occupancy
Ba1 0.000 0.500 0.239 1
Mg1 0.000 0.500 0.880 1
Mg2 0.500 0.500 0.500 1
In1 0.000 0.000 0.500 1
Ge1 0.000 0.000 0.000 1
Ge2 0.000 0.500 0.639 1
Ge3 0.500 0.500 0.000 1
```

=====

No. 4
Computed, not measured: a geometry-optimized Ba2Mg4InGe3 structure at the PBE-GGA level of DFT.

Summary:
Formation enthalpy at 0 K = -419 meV/atom
Calculated total energy = -3.10 eV/atom
Volume = 262.3 Å³/cell
Calculated density = 4.46 g/cm³

Geometry as CIF:
```
data_Ba2Mg4InGe3
_chemical_formula_sum 'Ba2 Mg4 In1 Ge3'
_space_group_name_H-M_alt 'P -4 m 2'
_space_group_IT_number 115
_cell_length_a 4.732
_cell_length_b 4.732
_cell_length_c 11.717
_cell_angle_alpha 90.00
_cell_angle_beta 90.00
_cell_angle_gamma 90.00
loop_
_space_group_symop_operation_xyz
'x,y,z'
'y,-x,-z'
'-x,-y,z'
'-y,x,-z'
'-x,y,z'
'-y,-x,-z'
'x,-y,z'
'y,x,-z'
loop_
_atom_site_label
_atom_site_fract_x
_atom_site_fract_y
_atom_site_fract_z
_atom_site_occupancy
Ba1 0.000 0.500 0.245 1
Mg1 0.000 0.000 0.000 1
Mg2 0.000 0.500 0.639 1
Mg3 0.500 0.500 0.000 1
In1 0.000 0.000 0.500 1
Ge1 0.000 0.500 0.870 1
Ge2 0.500 0.500 0.500 1
```

=====

No. 5
Computed, not measured: a geometry-optimized BaMnIn2Ge structure at the PBE-GGA level of DFT.

Summary:
Formation enthalpy at 0 K = -165 meV/atom
Calculated total energy = -4.40 eV/atom
Volume = 124.4 Å³/cell
Calculated density = 6.60 g/cm³

Geometry as CIF:
```
data_BaMnIn2Ge
_chemical_formula_sum 'Ba1 Mn1 In2 Ge1'
_space_group_name_H-M_alt 'P 4/m m m'
_space_group_IT_number 123
_space_group_name_Hall '-P 4 2'
_cell_length_a 5.126
_cell_length_b 5.126
_cell_length_c 4.735
_cell_angle_alpha 90.00
_cell_angle_beta 90.00
_cell_angle_gamma 90.00
loop_
_atom_site_label
_atom_site_fract_x
_atom_site_fract_y
_atom_site_fract_z
_atom_site_occupancy
Ba1 0.000 0.000 0.000 1
Mn1 0.500 0.500 0.500 1
In1 0.000 0.500 0.500 1
Ge1 0.500 0.500 0.000 1
```

=====

No. 6
Computed, not measured: a geometry-optimized BaNaIn2Ge2 structure at the PBE-GGA level of DFT.

Summary:
Formation enthalpy at 0 K = -233 meV/atom
Calculated total energy = -3.23 eV/atom
Volume = 179.8 Å³/cell
Calculated density = 4.94 g/cm³

Geometry as CIF:
```
data_BaNaIn2Ge2
_chemical_formula_sum 'Ba1 Na1 In2 Ge2'
_space_group_name_H-M_alt 'P -3 m 1'
_space_group_IT_number 164
_space_group_name_Hall '-P 3 2"'
_cell_length_a 4.6200
_cell_length_b 4.6200
_cell_length_c 9.7287
_cell_angle_alpha 90.00
_cell_angle_beta 90.00
_cell_angle_gamma 120.00
loop_
_atom_site_label
_atom_site_fract_x
_atom_site_fract_y
_atom_site_fract_z
_atom_site_occupancy
Ba1 0.0000 0.0000 0.0000 1
Na1 0.0000 0.0000 0.5000 1
In1 0.3333 0.6667 0.7484 1
Ge1 0.3333 0.6667 0.2829 1
```

=====

No. 7
Computed, not measured: a geometry-optimized BaNa2InGe2 structure at the PBE-GGA level of DFT.

Summary:
Formation enthalpy at 0 K = -255 meV/atom
Calculated total energy = -3.01 eV/atom
Volume = 343.6 Å³/cell
Calculated density = 4.29 g/cm³

Geometry as CIF:
```
data_BaNa2InGe2
_chemical_formula_sum 'Ba2 Na4 In2 Ge4'
_space_group_name_H-M_alt 'P m c 21'
_space_group_IT_number 26
_cell_length_a 4.751
_cell_length_b 8.843
_cell_length_c 8.178
_cell_angle_alpha 90.00
_cell_angle_beta 90.00
_cell_angle_gamma 90.00
loop_
_space_group_symop_operation_xyz
'x,y,z'
'-x,-y,z+1/2'
'-x,y,z'
'x,-y,z+1/2'
loop_
_atom_site_label
_atom_site_fract_x
_atom_site_fract_y
_atom_site_fract_z
_atom_site_occupancy
Ba1 0.000 0.074 0.000 1
Na1 0.000 0.335 0.355 1
Na2 0.500 0.433 0.037 1
In1 0.500 0.187 0.654 1
Ge1 0.000 0.354 0.719 1
Ge2 0.500 0.126 0.297 1
```

=====

No. 8
Computed, not measured: a geometry-optimized BaNaInGe structure at the PBE-GGA level of DFT.

Summary:
Formation enthalpy at 0 K = -198 meV/atom
Calculated total energy = -2.85 eV/atom
Volume = 490.6 Å³/cell
Calculated density = 4.71 g/cm³

Geometry as CIF:
```
data_BaNaInGe
_chemical_formula_sum 'Ba4 Na4 In4 Ge4'
_space_group_name_H-M_alt 'F -4 3 m'
_space_group_IT_number 216
_space_group_name_Hall 'F -4 2 3'
_cell_length_a 7.887
_cell_length_b 7.887
_cell_length_c 7.887
_cell_angle_alpha 90.00
_cell_angle_beta 90.00
_cell_angle_gamma 90.00
loop_
_atom_site_label
_atom_site_fract_x
_atom_site_fract_y
_atom_site_fract_z
_atom_site_occupancy
Ba1 0.000 0.000 0.000 1
Na1 0.000 0.000 0.500 1
In1 0.250 0.250 0.750 1
Ge1 0.250 0.250 0.250 1
```